Record 1
# Tl3PdW | Alexandria | PBEsol | relaxed
# - ΔE to the lowest computed polymorph (meV per atom) = 0
# - space-group type = Pm-3m
# - calculated formation energy (eV per atom) = 1.216
# - E_tot (eV for the cell shown) = -21.576
data_Tl3PdW
_symmetry_space_group_name_H-M 'P 1'
_symmetry_Int_Tables_number 1
_symmetry_space_group_name_Hall 'P 1'
_cell_length_a 5.230
_cell_length_b 5.230
_cell_length_c 5.230
_cell_angle_alpha 90.00
_cell_angle_beta 90.00
_cell_angle_gamma 90.00
loop_
_atom_site_label
_atom_site_fract_x
_atom_site_fract_y
_atom_site_fract_z
Tl1 0.000 0.000 0.500
Tl2 0.000 0.500 0.000
Tl3 0.500 0.000 0.000
Pd1 0.500 0.500 0.500
W1 0.000 0.000 0.000

Record 2
# KAuS2O8 | Alexandria | PBEsol | relaxed
# - formation energy without anion corrections (eV per atom) = -1.251
# - space-group type = C2/c
# - E_tot (eV for the cell shown) = -141.673
data_KAuS2O8
_symmetry_space_group_name_H-M 'P 1'
_symmetry_Int_Tables_number 1
_symmetry_space_group_name_Hall 'P 1'
_cell_length_a 6.691
_cell_length_b 6.691
_cell_length_c 9.451
_cell_angle_alpha 113.37
_cell_angle_beta 113.37
_cell_angle_gamma 66.61
loop_
_atom_site_label
_atom_site_fract_x
_atom_site_fract_y
_atom_site_fract_z
K1 0.018 0.982 0.750
K2 0.982 0.018 0.250
Au1 0.500 0.500 0.000
Au2 0.500 0.500 0.500
S1 0.284 0.320 0.140
S2 0.320 0.284 0.640
S3 0.680 0.716 0.360
S4 0.716 0.680 0.860
O1 0.147 0.171 0.584
O2 0.152 0.554 0.181
O3 0.171 0.147 0.084
O4 0.265 0.390 0.505
O5 0.275 0.498 0.784
O6 0.390 0.265 0.005
O7 0.446 0.848 0.319
O8 0.498 0.275 0.284
O9 0.502 0.725 0.716
O10 0.554 0.152 0.681
O11 0.610 0.735 0.995
O12 0.725 0.502 0.216
O13 0.735 0.610 0.495
O14 0.829 0.853 0.916
O15 0.848 0.446 0.819
O16 0.853 0.829 0.416

Record 3
# Zr2ScFe | Alexandria | PBEsol | relaxed
# - ΔE to the lowest computed polymorph (meV per atom) = 26
# - space-group type = P4mm
# - calculated formation energy (eV per atom) = -0.072
# - E_tot (eV for the cell shown) = -34.037
data_Zr2ScFe
_symmetry_space_group_name_H-M 'P 1'
_symmetry_Int_Tables_number 1
_symmetry_space_group_name_Hall 'P 1'
_cell_length_a 3.138
_cell_length_b 3.138
_cell_length_c 7.602
_cell_angle_alpha 90.00
_cell_angle_beta 90.00
_cell_angle_gamma 90.00
loop_
_atom_site_label
_atom_site_fract_x
_atom_site_fract_y
_atom_site_fract_z
Zr1 0.000 0.000 0.000
Zr2 0.500 0.500 0.284
Sc1 0.500 0.500 0.681
Fe1 0.000 0.000 0.480

Record 4
# Tm5Pt3 | Alexandria | PBEsol | relaxed
# - space-group type = P6_3/mcm
# - calculated formation energy (eV per atom) = -1.037
# - E_tot (eV for the cell shown) = -107.367
data_Tm5Pt3
_symmetry_space_group_name_H-M 'P 1'
_symmetry_Int_Tables_number 1
_symmetry_space_group_name_Hall 'P 1'
_cell_length_a 8.246
_cell_length_b 8.246
_cell_length_c 5.934
_cell_angle_alpha 90.00
_cell_angle_beta 90.00
_cell_angle_gamma 120.00
loop_
_atom_site_label
_atom_site_fract_x
_atom_site_fract_y
_atom_site_fract_z
Tm1 0.000 0.246 0.250
Tm2 0.000 0.754 0.750
Tm3 0.246 0.000 0.250
Tm4 0.246 0.246 0.750
Tm5 0.333 0.667 0.000
Tm6 0.333 0.667 0.500
Tm7 0.667 0.333 0.000
Tm8 0.667 0.333 0.500
Tm9 0.754 0.000 0.750
Tm10 0.754 0.754 0.250
Pt1 0.000 0.396 0.750
Pt2 0.000 0.604 0.250
Pt3 0.396 0.000 0.750
Pt4 0.396 0.396 0.250
Pt5 0.604 0.000 0.250
Pt6 0.604 0.604 0.750

What did the first record say?
# Tl3PdW | Alexandria | PBEsol | relaxed
# - ΔE to the lowest computed polymorph (meV per atom) = 0
# - space-group type = Pm-3m
# - calculated formation energy (eV per atom) = 1.216
# - E_tot (eV for the cell shown) = -21.576
data_Tl3PdW
_symmetry_space_group_name_H-M 'P 1'
_symmetry_Int_Tables_number 1
_symmetry_space_group_name_Hall 'P 1'
_cell_length_a 5.230
_cell_length_b 5.230
_cell_length_c 5.230
_cell_angle_alpha 90.00
_cell_angle_beta 90.00
_cell_angle_gamma 90.00
loop_
_atom_site_label
_atom_site_fract_x
_atom_site_fract_y
_atom_site_fract_z
Tl1 0.000 0.000 0.500
Tl2 0.000 0.500 0.000
Tl3 0.500 0.000 0.000
Pd1 0.500 0.500 0.500
W1 0.000 0.000 0.000

Q: The lowest E_tot belongs to which entry?
A: KAuS2O8

Q: Which of these has the lowest E_tot?
A: KAuS2O8

Q: Number 2 is which compound?
A: KAuS2O8